The following is a SCAN calculation of TaCr2Re at its PBEsol-relaxed geometry, from Alexandria via LeMat-Bulk.

Its formation energy is 0.06 eV/atom. Its symmetry is No. 65. The value obtained for the total magnetization is 0.00 μB/f.u.

Cell: 2.658 2.658 8.329 Å, 90.00 90.00 110.55°
Fractional positions:
Ta 0.500 0.500 0.000
Re 0.500 0.500 0.500
Cr 0.000 0.000 0.742
Cr 0.000 0.000 0.258